Entry 1:
# ErMoH | the Alexandria database | PBE-GGA | optimized geometry
# - VASP energy: -74.0 eV for the cell shown
data_ErMoH
_cell_length_a 3.400
_cell_length_b 6.874
_cell_length_c 8.474
_cell_angle_alpha 90.04
_cell_angle_beta 90.00
_cell_angle_gamma 90.00
_symmetry_space_group_name_H-M 'P 1'
_symmetry_Int_Tables_number 1
_symmetry_space_group_name_Hall 'P 1'
loop_
_atom_site_label
_atom_site_type_symbol
_atom_site_fract_x
_atom_site_fract_y
_atom_site_fract_z
_atom_site_occupancy
H1 H 0.250 0.626 0.601 1
H2 H 0.750 0.874 0.399 1
H3 H 0.750 0.374 0.399 1
H4 H 0.250 0.126 0.601 1
Mo1 Mo 0.250 0.875 0.039 1
Mo2 Mo 0.750 0.625 0.961 1
Mo3 Mo 0.750 0.125 0.961 1
Mo4 Mo 0.250 0.375 0.039 1
Er1 Er 0.250 0.625 0.334 1
Er2 Er 0.750 0.875 0.666 1
Er3 Er 0.750 0.375 0.666 1
Er4 Er 0.250 0.125 0.334 1

***

Entry 2:
# RbBaBe2Cr | the Alexandria database | PBE-GGA | optimized geometry
# - E_form: 1960 meV/atom
data_RbBaBe2Cr
_cell_length_a 5.641
_cell_length_b 6.672
_cell_length_c 5.641
_cell_angle_alpha 90.00
_cell_angle_beta 90.00
_cell_angle_gamma 90.00
_symmetry_space_group_name_H-M 'P 1'
_symmetry_Int_Tables_number 1
_symmetry_space_group_name_Hall 'P 1'
loop_
_atom_site_label
_atom_site_type_symbol
_atom_site_fract_x
_atom_site_fract_y
_atom_site_fract_z
_atom_site_occupancy
Cr1 Cr 0.500 0.500 0.500 1
Ba1 Ba 0.000 0.000 0.000 1
Rb1 Rb 0.000 0.500 0.000 1
Be1 Be 0.000 0.000 0.500 1
Be2 Be 0.500 0.000 0.000 1

***

Entry 3:
# KS5N | the Alexandria database | PBE-GGA | optimized geometry
# - Formation energy without anion corrections: -22 meV/atom
data_KS5N
_cell_length_a 9.761
_cell_length_b 7.926
_cell_length_c 5.318
_cell_angle_alpha 111.90
_cell_angle_beta 125.66
_cell_angle_gamma 111.88
_symmetry_space_group_name_H-M 'P 1'
_symmetry_Int_Tables_number 1
_symmetry_space_group_name_Hall 'P 1'
loop_
_atom_site_label
_atom_site_type_symbol
_atom_site_fract_x
_atom_site_fract_y
_atom_site_fract_z
_atom_site_occupancy
K1 K 0.973 0.883 0.865 1
S1 S 0.608 0.875 0.021 1
S2 S 0.071 0.507 0.908 1
S3 S 0.561 0.232 0.402 1
S4 S 0.213 0.553 0.468 1
S5 S 0.368 0.254 0.987 1
N1 N 0.737 0.226 0.409 1

***

Entry 4:
# LaTmThZn | the Alexandria database | PBE-GGA | optimized geometry
# - E_form: -150 meV/atom
# - ΔE to the lowest computed polymorph: 0.0 kJ per mole of atoms
data_LaTmThZn
_cell_length_a 3.604
_cell_length_b 3.604
_cell_length_c 8.663
_cell_angle_alpha 90.00
_cell_angle_beta 90.00
_cell_angle_gamma 90.00
_symmetry_space_group_name_H-M 'P 1'
_symmetry_Int_Tables_number 1
_symmetry_space_group_name_Hall 'P 1'
loop_
_atom_site_label
_atom_site_type_symbol
_atom_site_fract_x
_atom_site_fract_y
_atom_site_fract_z
_atom_site_occupancy
La1 La 0.000 0.000 0.102 1
Tm1 Tm 0.000 0.000 0.533 1
Th1 Th 0.500 0.500 0.808 1
Zn1 Zn 0.500 0.500 0.342 1

***

Entry 5:
# LiPm2CuAu6 | the Alexandria database | PBE-GGA | optimized geometry
# - E_form: -434 meV/atom
data_LiPm2CuAu6
_cell_length_a 6.828
_cell_length_b 6.899
_cell_length_c 6.835
_cell_angle_alpha 78.16
_cell_angle_beta 47.04
_cell_angle_gamma 96.25
_symmetry_space_group_name_H-M 'P 1'
_symmetry_Int_Tables_number 1
_symmetry_space_group_name_Hall 'P 1'
loop_
_atom_site_label
_atom_site_type_symbol
_atom_site_fract_x
_atom_site_fract_y
_atom_site_fract_z
_atom_site_occupancy
Li1 Li 0.000 0.000 0.000 1
Pm1 Pm 0.757 0.287 0.472 1
Pm2 Pm 0.243 0.713 0.528 1
Cu1 Cu 0.500 0.500 0.000 1
Au1 Au 0.274 0.270 0.506 1
Au2 Au 0.749 0.901 0.848 1
Au3 Au 0.225 0.730 0.993 1
Au4 Au 0.775 0.270 0.007 1
Au5 Au 0.251 0.099 0.152 1
Au6 Au 0.726 0.730 0.494 1

***

Entry 6:
# Li2ThZn9 | the Alexandria database | PBE-GGA | optimized geometry
# - E_form: -164 meV/atom
# - ΔE to the lowest computed polymorph: 0.0 kJ per mole of atoms
data_Li2ThZn9
_cell_length_a 5.333
_cell_length_b 5.333
_cell_length_c 8.911
_cell_angle_alpha 72.59
_cell_angle_beta 72.59
_cell_angle_gamma 60.00
_symmetry_space_group_name_H-M 'P 1'
_symmetry_Int_Tables_number 1
_symmetry_space_group_name_Hall 'P 1'
loop_
_atom_site_label
_atom_site_type_symbol
_atom_site_fract_x
_atom_site_fract_y
_atom_site_fract_z
_atom_site_occupancy
Li1 Li 0.857 0.857 0.428 1
Li2 Li 0.143 0.143 0.572 1
Th1 Th 0.000 0.000 0.000 1
Zn1 Zn 0.666 0.666 0.003 1
Zn2 Zn 0.334 0.334 0.997 1
Zn3 Zn 0.500 0.500 0.500 1
Zn4 Zn 0.410 0.410 0.259 1
Zn5 Zn 0.921 0.410 0.259 1
Zn6 Zn 0.410 0.921 0.259 1
Zn7 Zn 0.590 0.590 0.741 1
Zn8 Zn 0.590 0.079 0.741 1
Zn9 Zn 0.079 0.590 0.741 1

***

Entry 7:
# La2SiAg | the Alexandria database | PBE-GGA | optimized geometry
# - Formation energy without anion corrections: 55 meV/atom
data_La2SiAg
_cell_length_a 5.166
_cell_length_b 5.166
_cell_length_c 5.166
_cell_angle_alpha 60.00
_cell_angle_beta 60.00
_cell_angle_gamma 60.00
_symmetry_space_group_name_H-M 'P 1'
_symmetry_Int_Tables_number 1
_symmetry_space_group_name_Hall 'P 1'
loop_
_atom_site_label
_atom_site_type_symbol
_atom_site_fract_x
_atom_site_fract_y
_atom_site_fract_z
_atom_site_occupancy
Ag1 Ag 0.500 0.500 0.500 1
La1 La 0.000 0.000 0.000 1
La2 La 0.750 0.750 0.750 1
Si1 Si 0.250 0.250 0.250 1

***

Entry 8:
# SrYSc | the Alexandria database | PBE-GGA | optimized geometry
# - E_form: 805 meV/atom
# - ΔE to the lowest computed polymorph: 58.8 kJ per mole of atoms
data_SrYSc
_cell_length_a 5.598
_cell_length_b 5.598
_cell_length_c 5.598
_cell_angle_alpha 60.00
_cell_angle_beta 60.00
_cell_angle_gamma 60.00
_symmetry_space_group_name_H-M 'P 1'
_symmetry_Int_Tables_number 1
_symmetry_space_group_name_Hall 'P 1'
loop_
_atom_site_label
_atom_site_type_symbol
_atom_site_fract_x
_atom_site_fract_y
_atom_site_fract_z
_atom_site_occupancy
Sc1 Sc 0.750 0.750 0.750 1
Sr1 Sr 0.000 0.000 0.000 1
Y1 Y 0.500 0.500 0.500 1

***

no.,volume (Å³/cell)
1,198.1
2,212.3
3,193.1
4,112.5
5,216.2
6,205.9
7,97.5
8,124.0